Entry 1:
DFT (PBE) results for crystalline Ba3YPu2O9 at its relaxed geometry.

The space group is P-3m1 (No. 164) and the conventional cell measures 6.2101, 6.2101 and 7.6115 Å, with angles of 90.00, 90.00 and 120.00 degrees. The asymmetric unit holds Ba at (0.0000, 0.0000, 0.0000), Ba at (0.3333, 0.6667, 0.6580), Y at (0.0000, 0.0000, 0.5000), Pu at (0.3333, 0.6667, 0.1659), O at (0.0000, 0.5000, 0.0000) and O at (0.1707, 0.3414, 0.3289).

As for the formation energy without anion corrections: -3.0226 eV/atom.

***

Entry 2:
DFT (PBE) results for crystalline BaYPu2O8 at its relaxed geometry.

The space group is I-4m2 (No. 119) and the conventional cell measures 5.563, 5.563 and 10.697 Å, with angles of 90.00, 90.00 and 90.00 degrees. The asymmetric unit holds Ba at (0.000, 0.000, 0.000), Y at (0.000, 0.500, 0.750), Pu at (0.000, 0.000, 0.500), Pu at (0.000, 0.500, 0.250) and O at (0.218, 0.234, 0.369).

As for the formation energy without anion corrections: -2.7350 eV/atom.

***

Entry 3:
DFT (PBE) results for crystalline Ba2YPu3O12 at its relaxed geometry.

The space group is R-3m (No. 166, hexagonal axes) and the conventional cell measures 7.9558, 7.9558 and 16.2658 Å, with angles of 90.00, 90.00 and 120.00 degrees. The asymmetric unit holds Ba at (0.0000, 0.0000, 0.1137), Y at (0.0000, 0.0000, 0.5000), Pu at (0.0000, 0.5000, 0.0000), O at (0.0547, 0.5274, 0.8833) and O at (0.0853, 0.5427, 0.2946).

As for the formation energy without anion corrections: -2.7397 eV/atom.

***

Entry 4:
DFT (PBE) results for crystalline Ba4YPu3O12 at its relaxed geometry.

The space group is Im-3m (No. 229) and the conventional cell measures 8.797, 8.797 and 8.797 Å, with angles of 90.00, 90.00 and 90.00 degrees. The asymmetric unit holds Ba at (0.250, 0.250, 0.250), Y at (0.000, 0.000, 0.000), Pu at (0.000, 0.000, 0.500), O at (0.000, 0.000, 0.256) and O at (0.000, 0.250, 0.500).

As for the formation energy without anion corrections: -3.0084 eV/atom.

***

Entry 5:
DFT (PBE) results for crystalline BaYPuO6 at its relaxed geometry.

The space group is P-31c (No. 163) and the conventional cell measures 5.8433, 5.8433 and 11.0741 Å, with angles of 90.00, 90.00 and 120.00 degrees. The asymmetric unit holds Ba at (0.0000, 0.0000, 0.0000), Y at (0.3333, 0.6667, 0.2500), Pu at (0.3333, 0.6667, 0.7500) and O at (0.0329, 0.3908, 0.6498).

As for the formation energy without anion corrections: -2.8643 eV/atom.

***

Entry 6:
DFT (PBE) results for crystalline Ba2PuZnO5 at its relaxed geometry.

The space group is Cmc2_1 (No. 36) and the conventional cell measures 3.589, 15.096 and 11.451 Å, with angles of 90.00, 90.00 and 90.00 degrees. The asymmetric unit holds Ba at (0.000, 0.100, 0.000), Ba at (0.000, 0.132, 0.642), Pu at (0.000, 0.203, 0.346), Zn at (0.000, 0.452, 0.762), O at (0.000, 0.051, 0.348), O at (0.000, 0.287, 0.969), O at (0.000, 0.312, 0.722), O at (0.000, 0.343, 0.327) and O at (0.000, 0.496, 0.110).

As for the formation energy without anion corrections: -2.4737 eV/atom.

***

Entry 7:
DFT (PBE) results for crystalline BaPuZn2O8 at its relaxed geometry.

The space group is I-4m2 (No. 119) and the conventional cell measures 7.133, 7.133 and 7.171 Å, with angles of 90.00, 90.00 and 90.00 degrees. The asymmetric unit holds Ba at (0.000, 0.000, 0.000), Pu at (0.000, 0.500, 0.750), Zn at (0.000, 0.000, 0.500), Zn at (0.000, 0.500, 0.250), O at (0.000, 0.219, 0.687) and O at (0.000, 0.352, 0.029).

As for the formation energy without anion corrections: -1.4168 eV/atom.

***

Entry 8:
DFT (PBE) results for crystalline BaPu2ZnO8 at its relaxed geometry.

The space group is I-4m2 (No. 119) and the conventional cell measures 7.328, 7.328 and 7.781 Å, with angles of 90.00, 90.00 and 90.00 degrees. The asymmetric unit holds Ba at (0.000, 0.000, 0.000), Pu at (0.000, 0.000, 0.500), Pu at (0.000, 0.500, 0.250), Zn at (0.000, 0.500, 0.750), O at (0.000, 0.208, 0.671) and O at (0.000, 0.335, 0.060).

As for the formation energy without anion corrections: -1.8371 eV/atom.

***

Copy entry 7 word for word.
DFT (PBE) results for crystalline BaPuZn2O8 at its relaxed geometry.

The space group is I-4m2 (No. 119) and the conventional cell measures 7.133, 7.133 and 7.171 Å, with angles of 90.00, 90.00 and 90.00 degrees. The asymmetric unit holds Ba at (0.000, 0.000, 0.000), Pu at (0.000, 0.500, 0.750), Zn at (0.000, 0.000, 0.500), Zn at (0.000, 0.500, 0.250), O at (0.000, 0.219, 0.687) and O at (0.000, 0.352, 0.029).

As for the formation energy without anion corrections: -1.4168 eV/atom.